# GGA+U LiTm2WO6, relaxed
data_LiTm2WO6
_chemical_formula_sum 'Li1 Tm2 W1 O6'
_cell_length_a 5.492
_cell_length_b 5.521
_cell_length_c 5.901
_cell_angle_alpha 62.19
_cell_angle_beta 63.09
_cell_angle_gamma 60.21
_space_group_name_H-M_alt 'P 1'
_space_group_IT_number 1
loop_
_space_group_symop_operation_xyz
'x,y,z'
loop_
_atom_site_label
_atom_site_fract_x
_atom_site_fract_y
_atom_site_fract_z
_atom_site_occupancy
Li1 0.000 0.000 0.000 1
Tm1 0.242 0.230 0.282 1
Tm2 0.747 0.750 0.764 1
W1 0.541 0.543 0.372 1
O1 0.170 0.804 0.570 1
O2 0.345 0.634 0.110 1
O3 0.445 0.174 0.570 1
O4 0.635 0.920 0.096 1
O5 0.795 0.462 0.560 1
O6 0.911 0.341 0.105 1
# M_tot = 1.000 μB/f.u.
# electronic total energy = -76.34 eV/cell